# 1
This record from Alexandria via LeMat-Bulk describes crystalline Sc3TiRh at its relaxed geometry. The functional is PBE-GGA.

Unit cell a=4.958 b=4.958 c=4.958 alpha=90.00 beta=90.00 gamma=90.00
Atoms (fractional coordinates):
Sc (0.000, 0.500, 0.000)
Sc (0.000, 0.000, 0.500)
Sc (0.500, 0.000, 0.000)
Rh (0.000, 0.000, 0.000)
Ti (0.500, 0.500, 0.500)

Calculated values
- Magnetization: 0.0 μB/f.u.
- ΔE_f: 0.106 eV/atom
- Polymorph energy (0 for the lowest one): 0 meV/atom


# 2
This record from Alexandria via LeMat-Bulk describes crystalline ZnNi2Rh2 at its relaxed geometry. The functional is PBE-GGA.

Unit cell a=3.297 b=3.297 c=6.861 alpha=76.10 beta=76.10 gamma=90.00
Each line ends with the local moment (μB).
Atoms (fractional coordinates):
Ni (0.750, 0.250, 0.500)  0.74
Ni (0.250, 0.750, 0.500)  0.74
Zn (0.000, 0.000, 0.000)  -0.02
Rh (0.398, 0.398, 0.204)  0.53
Rh (0.602, 0.602, 0.796)  0.53

Calculated values
- Magnetization: 2.4 μB/f.u.
- ΔE_f: 0.169 eV/atom
- Polymorph energy (0 for the lowest one): 262 meV/atom


# 3
This record from Alexandria via LeMat-Bulk describes crystalline Li2CePaO6 at its relaxed geometry. The functional is PBE-GGA.

Unit cell a=5.509 b=5.509 c=6.018 alpha=62.77 beta=62.76 gamma=60.00
Each line ends with the local moment (μB).
Atoms (fractional coordinates):
Li (0.533, 0.534, 0.399)  0.00
Li (0.042, 0.042, 0.873)  0.00
Ce (0.315, 0.315, 0.054)  0.01
Pa (0.818, 0.818, 0.546)  0.04
O (0.600, 0.214, 0.280)  0.11
O (0.214, 0.907, 0.280)  0.11
O (0.906, 0.600, 0.280)  0.11
O (0.421, 0.721, 0.768)  0.12
O (0.722, 0.089, 0.768)  0.12
O (0.090, 0.421, 0.768)  0.12

Calculated values
- Magnetization: 0.9 μB/f.u.
- Formation energy from raw total energies: -27.78 eV per formula unit


# 4
This record from Alexandria via LeMat-Bulk describes crystalline LiAl3Au at its relaxed geometry. The functional is PBE-GGA.

Unit cell a=5.406 b=6.897 c=5.369 alpha=112.31 beta=89.16 gamma=105.75
Atoms (fractional coordinates):
Li (0.708, 0.864, 0.433)
Li (0.292, 0.136, 0.567)
Al (0.620, 0.603, 0.805)
Al (0.164, 0.696, 0.596)
Al (0.380, 0.397, 0.195)
Al (0.836, 0.304, 0.404)
Al (0.154, 0.699, 0.118)
Al (0.846, 0.301, 0.882)
Au (0.000, 0.000, 0.000)
Au (0.500, 0.000, 0.000)

Calculated values
- Magnetization: 0.0 μB/f.u.
- ΔE_f: -0.198 eV/atom
- Polymorph energy (0 for the lowest one): 0 meV/atom